Sr5Fe (PBE, relaxed); space-group type = P6/mmm (191); ρ = 2.44 g cm⁻³; distance to the lowest polymorph of the same formula = 578 meV/atom; total moment = 3.3 Bohr magnetons per cell; calculated volume = 56.10 Å³ per atom; E = -11.59 eV per cell
1.0
3.7438 -6.4844 0.0000
3.7438 6.4844 0.0000
0.0000 0.0000 6.9326
Sr Fe
5 1
direct
0.0000 0.5000 0.5000
0.5000 0.0000 0.5000
0.5000 0.5000 0.5000
0.3333 0.6667 0.0000
0.6667 0.3333 0.0000
0.0000 0.0000 0.0000